No. 1
Material: SmZn2GeIr
Method: DFT, GGA-PBE
State: optimized geometry

a b c (Å): 3.921 4.209 11.093
angles (deg): 90.00 90.00 90.00
Space group Imm2 (No. 44)
Symmetry-distinct sites (fractional):
1 Sm 0.000 0.000 0.000 (multiplicity 2)
2 Zn 0.000 0.000 0.617 (multiplicity 2)
3 Zn 0.000 0.500 0.256 (multiplicity 2)
4 Ge 0.000 0.000 0.391 (multiplicity 2)
5 Ir 0.000 0.500 0.753 (multiplicity 2)

Computed properties:
Calculated formation energy = -0.46 eV per atom
Magnetization = 0.000 μB per atom
VASP energy = -46.06 eV per cell


No. 2
Material: UGaTe
Method: DFT, GGA-PBE
State: optimized geometry

a b c (Å): 4.838 18.404 3.740
angles (deg): 90.00 90.00 90.00
Space group Cmcm (No. 63)
Symmetry-distinct sites (fractional):
1 U 0.000 0.049 0.250 (multiplicity 4)
2 Ga 0.000 0.444 0.250 (multiplicity 4)
3 Te 0.000 0.175 0.750 (multiplicity 4)

Computed properties:
E_form (uncorrected) = -26 kJ/mol of atoms
ΔE to the lowest computed polymorph = 0.00 eV/f.u.
Magnetization = 0.269 μB per atom
VASP energy = -73.03 eV per cell


No. 3
Material: Rb2Zn2I
Method: DFT, GGA-PBE
State: optimized geometry

a b c (Å): 9.335 9.335 4.801
angles (deg): 90.00 90.00 90.00
Space group P4/mbm (No. 127)
Symmetry-distinct sites (fractional):
1 Rb 0.197 0.303 0.000 (multiplicity 4)
2 Zn 0.099 0.599 0.500 (multiplicity 4)
3 I 0.000 0.000 0.500 (multiplicity 2)

Computed properties:
E_form (uncorrected) = -26 kJ/mol of atoms
Magnetization = 0.000 μB per atom
VASP energy = -14.78 eV per cell